# 1
A plane-wave DFT calculation with PBE-GGA was carried out for a relaxed AcEr2Ga crystal.

Calculated values
Its uncorrected energy is -16.71 eV for the cell shown.

Cell lengths 4.8792, 4.8792, 4.9264 Å; angles 90.00, 90.00, 90.00 degrees
Last column: nearest neighbours and their distance in Å.
Space group P4/mmm (No. 123)
One atom of each set of equivalent atoms:
Ac: 0.0000 0.0000 0.0000 [1 per cell]  4 Ga 3.45, 8 Er 3.47
Er: 0.0000 0.5000 0.5000 [2 per cell]  4 Er 3.45, 4 Ac 3.47, 4 Ga 3.47
Ga: 0.5000 0.5000 0.0000 [1 per cell]  4 Ac 3.45, 8 Er 3.47

# 2
A plane-wave DFT calculation with PBE-GGA was carried out for a relaxed TaGe2I crystal.

Calculated values
For the energy relative to the elements, uncorrected, the calculation gives 821 meV/atom.

Cell lengths 6.4105, 6.4105, 12.8050 Å; angles 90.00, 90.00, 90.00 degrees
Last column: nearest neighbours and their distance in Å.
Space group I-42d (No. 122)
One atom of each set of equivalent atoms:
Ta: 0.0000 0.0000 0.0000 [4 per cell]  4 Ge 2.52
Ge: 0.1727 0.2500 0.1250 [8 per cell]  2 Ta 2.52
I: 0.0000 0.0000 0.5000 [4 per cell]  4 Ge 3.09

# 3
A plane-wave DFT calculation with PBE-GGA was carried out for a relaxed LaTm2Mn crystal.

Calculated values
Its uncorrected energy is -62.73 eV for the cell shown.

Cell lengths 3.4042, 3.4042, 34.1085 Å; angles 90.00, 90.00, 120.00 degrees
Last column: nearest neighbours and their distance in Å.
Space group R-3m (No. 166, hexagonal axes)
One atom of each set of equivalent atoms:
La: 0.0000 0.0000 0.0000 [3 per cell]  6 La 3.40, 6 Tm 3.54
Tm: 0.0000 0.0000 0.4198 [6 per cell]  1 Mn 2.74
Mn: 0.0000 0.0000 0.5000 [3 per cell]  2 Tm 2.74

# 4
A plane-wave DFT calculation with PBE-GGA was carried out for a relaxed TbTmSc2Tl4 crystal.

Calculated values
Its uncorrected energy is -100.45 eV for the cell shown.

Cell lengths 5.2266, 5.2266, 25.6658 Å; angles 90.00, 90.00, 120.00 degrees
Last column: nearest neighbours and their distance in Å.
Space group R-3m (No. 166, hexagonal axes)
One atom of each set of equivalent atoms:
Tb: 0.0000 0.0000 0.0000 [3 per cell]  8 Tl 3.21-3.23
Tm: 0.0000 0.0000 0.5000 [3 per cell]  8 Tl 3.18-3.19
Sc: 0.0000 0.0000 0.2497 [6 per cell]  8 Tl 3.18-3.24
Tl: 0.0000 0.0000 0.1259 [6 per cell]  4 Sc 3.18-3.21, 3 Tm 3.19, 1 Tb 3.23
Tl: 0.0000 0.0000 0.3759 [6 per cell]  1 Tm 3.18, 4 Sc 3.20-3.24, 3 Tb 3.21

# 5
A plane-wave DFT calculation with PBE-GGA was carried out for a relaxed Sb2MoRh crystal.

Calculated values
For the energy relative to the elements, uncorrected, the calculation gives 137 meV/atom.

Cell lengths 8.5562, 3.2586, 5.5745 Å; angles 90.00, 103.97, 90.00 degrees
Last column: nearest neighbours and their distance in Å.
Space group C2/m (No. 12)
One atom of each set of equivalent atoms:
Sb: 0.2484 0.0000 0.2544 [4 per cell]  3 Rh 2.78-2.85, 3 Mo 2.78-2.79
Mo: 0.0000 0.0000 0.5000 [2 per cell]  6 Sb 2.78-2.79
Rh: 0.0000 0.5000 0.0000 [2 per cell]  6 Sb 2.78-2.85

# 6
A plane-wave DFT calculation with PBE-GGA was carried out for a relaxed SrCu2Ir crystal.

Calculated values
Its uncorrected energy is -71.82 eV for the cell shown.

Cell lengths 4.6300, 4.6300, 17.2527 Å; angles 90.00, 90.00, 90.00 degrees
Last column: nearest neighbours and their distance in Å.
Space group I-42d (No. 122)
One atom of each set of equivalent atoms:
Sr: 0.0000 0.0000 0.0000 [4 per cell]  4 Ir 3.27, 8 Cu 3.37
Cu: 0.0012 0.2500 0.6250 [8 per cell]  2 Cu 2.32, 2 Ir 2.45
Ir: 0.0000 0.0000 0.5000 [4 per cell]  4 Cu 2.45